Entry 1:
LiHfBeAu | PBE | optimized geometry

Cell: 4.4034 4.4034 4.4034 Å, 60.00 60.00 60.00°
Element x y z (fractional)
Be 0.5000 0.5000 0.5000
Hf 0.0000 0.0000 0.0000
Li 0.2500 0.2500 0.2500
Au 0.7500 0.7500 0.7500

Computed properties:
Its energy relative to the lowest polymorph listed for this composition is 0.0 kJ per mole of atoms. The size of the total moment comes out at 0.00 μB per formula unit. As for the mass density: 10.8 g cm⁻³. The uncorrected energy comes out at -4.9399 eV per atom. Its volume is 60.38 Å³/f.u.

---

Entry 2:
TaNiHgSb | PBE | optimized geometry

Cell: 4.7600 4.7600 4.7600 Å, 60.00 60.00 60.00°
Element x y z (fractional)
Sb 0.0000 0.0000 0.0000
Ta 0.5000 0.5000 0.5000
Ni 0.7500 0.7500 0.7500
Hg 0.2500 0.2500 0.2500

Computed properties:
Its energy relative to the lowest polymorph listed for this composition is 25.0 kJ per mole of atoms. The size of the total moment comes out at 1.17 μB per formula unit. As for the mass density: 12.2 g cm⁻³. The uncorrected energy comes out at -4.7741 eV per atom. Its volume is 76.26 Å³/f.u.

---

- Among the records above, which one has the lowest mass density?
  LiHfBeAu